Material: K2Ba3I8
Method: DFT, PBE
State: relaxed

Properties
As for the density of states at the Fermi level: 0.0 states/eV per cell. The value obtained for the formation energy without anion corrections is -1669 meV/atom.

Cell lengths 17.6688, 10.2599, 8.7362 Å; angles 90.00, 108.30, 90.00 degrees
Closest atoms and distances in Å follow each position.
Space group C2/m (No. 12)
Unique sites:
K  0.2288  0.0000  0.1411 [4 per cell]  5 I 3.57-3.66
Ba  0.0000  0.2413  0.5000 [4 per cell]  6 I 3.43-3.53
Ba  0.0000  0.5000  0.0000 [2 per cell]  6 I 3.47-3.50
I  0.1110  0.5000  0.4103 [4 per cell]  3 Ba 3.50-3.53
I  0.1151  0.0000  0.4137 [4 per cell]  2 Ba 3.43, 1 K 3.57
I  0.1200  0.2710  0.8975 [8 per cell]  2 Ba 3.47, 2 K 3.65-3.66